DFT (PBE) results for a relaxed structure of ZrSc2C.

## Properties
N(E_F)	0.58	states/eV per atom
crystal system	trigonal
total moment	0.00	Bohr magnetons per cell
energy	-7.76	eV per atom
calculated volume	19.9	A^3/atom

a = 9.0275 Å, b = 9.0275 Å, c = 9.0275 Å
α = 20.58°, β = 20.58°, γ = 20.58°
Element x y z (fractional)
Sc: 0.1196 0.1196 0.1196
Sc: 0.8804 0.8804 0.8804
C: 0.5000 0.5000 0.5000
Zr: 0.0000 0.0000 0.0000